Compound: GdCo4Au3O12
Source: OQMD
Functional: PBE with a Hubbard U
Structure: relaxed

- SG = Im-3 (204)
- final energy (eV/atom) = -5.6550
- crystal system = cubic
- total magnetization (μB/atom) = 0.40

a = 6.4469 Å, b = 6.4469 Å, c = 6.4469 Å
α = 109.47°, β = 109.47°, γ = 109.47°
Fractional coordinates of all 20 atoms:
Co 0.5000 0.5000 0.5000
O 0.1773 0.4700 0.2928
O 0.4700 0.2928 0.1773
O 0.1773 0.8845 0.7072
Au 0.5000 0.0000 0.5000
O 0.8845 0.7072 0.1773
Co 0.0000 0.5000 0.0000
O 0.5300 0.7072 0.8227
Co 0.5000 0.0000 0.0000
Au 0.5000 0.5000 0.0000
O 0.8227 0.5300 0.7072
O 0.7072 0.1773 0.8845
O 0.2928 0.1773 0.4700
O 0.1155 0.2928 0.8227
Au 0.0000 0.5000 0.5000
O 0.8227 0.1155 0.2928
O 0.2928 0.8227 0.1155
Gd 0.0000 0.0000 0.0000
Co 0.0000 0.0000 0.5000
O 0.7072 0.8227 0.5300